CaSiP2 SCAN single point on PBEsol structure; formation energy without anion corrections = -76 kJ per mole of atoms; V = 1319.9 Å³ per cell; SG = P4_12_12, No. 92; E = -10.91 eV per atom
1.0
-5.9400 -0.9966 -3.8029
-3.5535 -1.5866 5.9661
-6.1420 25.0982 3.0161
Ca Si P
16 16 32
Direct
0.1225 0.1533 0.5694
0.3441 0.1291 0.8137
0.6559 0.8709 0.3137
0.1559 0.6291 0.4363
0.1533 0.1225 0.4306
0.8467 0.8775 0.9306
0.1291 0.3441 0.1863
0.6225 0.3467 0.1806
0.8441 0.3709 0.9363
0.3467 0.6225 0.8194
0.3775 0.6533 0.6806
0.6533 0.3775 0.3194
0.3709 0.8441 0.0637
0.8709 0.6559 0.6863
0.8775 0.8467 0.0694
0.6291 0.1559 0.5637
0.3845 0.6244 0.9495
0.6256 0.1142 0.7059
0.1142 0.6256 0.2941
0.6244 0.3845 0.0505
0.1155 0.1244 0.3005
0.1256 0.3858 0.0441
0.8756 0.8845 0.1995
0.8858 0.3744 0.7941
0.3858 0.1256 0.9559
0.8845 0.8756 0.8005
0.6155 0.3756 0.4495
0.8744 0.6142 0.5441
0.3744 0.8858 0.2059
0.1244 0.1155 0.6995
0.6142 0.8744 0.4559
0.3756 0.6155 0.5505
0.6132 0.3868 0.7500
0.9328 0.6169 0.8485
0.8669 0.0622 0.6512
0.3868 0.6132 0.2500
0.4328 0.8831 0.9015
0.1353 0.3906 0.7409
0.0622 0.8669 0.3488
0.3647 0.8906 0.5091
0.1094 0.6353 0.9909
0.6331 0.5622 0.5988
0.8906 0.3647 0.4909
0.1331 0.9378 0.1512
0.5622 0.6331 0.4012
0.4378 0.3669 0.9012
0.1374 0.8626 0.7500
0.3906 0.1353 0.2591
0.3831 0.0672 0.6515
0.3626 0.3626 0.5000
0.3669 0.4378 0.0988
0.8831 0.4328 0.0985
0.8868 0.8868 0.5000
0.8647 0.6094 0.2409
0.6169 0.9328 0.1515
0.8626 0.1374 0.2500
0.1132 0.1132 0.0000
0.1169 0.5672 0.5985
0.5672 0.1169 0.4015
0.6374 0.6374 0.0000
0.6353 0.1094 0.0091
0.9378 0.1331 0.8488
0.6094 0.8647 0.7591
0.0672 0.3831 0.3485